No. 1
Compound: Tb2Sm6HoMg
Source: Alexandria
Functional: PBE-GGA
Structure: relaxed

Structure (POSCAR):
```
Tb2Sm6HoMg
1.0
-9.018 0.120 2.884
2.398 -6.055 5.931
1.375 8.436 2.128
Tb Sm Ho Mg
4 12 2 2
Cartesian
-1.196 1.092 7.503 Tb
0.565 -0.127 2.385 Tb
-5.810 2.629 8.558 Tb
-4.049 1.410 3.440 Tb
-6.625 2.576 5.353 Sm
-5.476 4.855 3.224 Sm
-3.343 3.037 6.232 Sm
0.891 5.698 2.534 Sm
-6.135 -3.196 8.409 Sm
-0.388 -3.391 3.930 Sm
0.231 -2.353 7.719 Sm
-1.901 -0.535 4.711 Sm
-4.856 5.892 7.013 Sm
-2.280 5.999 4.538 Sm
-2.965 -3.498 6.405 Sm
1.381 -0.074 5.590 Sm
-5.366 8.209 4.374 Ho
0.121 -5.708 6.569 Ho
-0.458 2.507 4.413 Mg
-4.786 -0.006 6.530 Mg
```

Values from the calculation:
V: 32.5 A^3/atom
Energy relative to the elements: 0.119 eV/atom

No. 2
Compound: Tb2SmHo2Mg5
Source: Alexandria
Functional: PBE-GGA
Structure: relaxed

Structure (POSCAR):
```
Tb2SmHo2Mg5
1.0
-4.441 -0.925 2.337
-1.125 -8.883 -5.654
5.092 -5.436 7.527
Mg Tb Sm Ho
10 4 2 4
Cartesian
0.685 -9.361 3.169 Mg
1.587 -12.618 3.595 Mg
-2.783 -4.904 -1.658 Mg
-2.255 -9.754 -2.574 Mg
-0.841 -8.970 0.424 Mg
-2.061 -2.625 0.615 Mg
0.367 -6.273 3.786 Mg
-1.159 -5.882 1.041 Mg
0.325 -3.180 4.932 Mg
1.781 -5.489 6.784 Mg
0.142 -6.984 -2.494 Tb
1.442 -3.330 1.423 Tb
3.825 -7.334 4.367 Tb
2.525 -10.988 0.450 Tb
0.000 0.000 0.000 Sm
1.984 -7.159 0.937 Sm
0.177 -4.031 -1.259 Ho
3.018 -4.420 3.986 Ho
0.949 -9.898 -2.113 Ho
3.790 -10.287 3.133 Ho
```

Values from the calculation:
V: 28.6 A^3/atom
Energy relative to the elements: 0.068 eV/atom

No. 3
Compound: Tb4Sm2HoMg
Source: Alexandria
Functional: PBE-GGA
Structure: relaxed

Structure (POSCAR):
```
Tb4Sm2HoMg
1.0
-2.002 2.943 -3.476
2.514 -2.462 -3.533
-5.188 -8.889 -4.538
Tb Mg Ho Sm
4 1 1 2
Cartesian
-2.662 0.113 -5.492 Tb
-2.014 -8.521 -6.055 Tb
-0.404 -2.589 -5.520 Tb
-4.272 -5.819 -6.027 Tb
0.256 0.241 -3.504 Mg
-1.337 -5.676 -4.035 Ho
-3.595 -2.973 -4.007 Sm
2.514 -2.462 -3.533 Sm
```

Values from the calculation:
V: 31.3 A^3/atom
Energy relative to the elements: 0.022 eV/atom

No. 4
Compound: Tb2SmHo5Mg
Source: Alexandria
Functional: PBE-GGA
Structure: relaxed

Structure (POSCAR):
```
Tb2SmHo5Mg
1.0
-0.382 2.355 4.855
8.340 -6.106 0.605
6.024 7.895 -3.356
Mg Ho Tb Sm
2 10 4 2
Cartesian
9.659 0.006 0.757 Mg
1.393 0.298 2.978 Mg
10.800 0.398 3.670 Ho
8.094 5.476 0.994 Ho
4.486 0.768 2.994 Ho
4.746 4.059 1.418 Ho
0.273 -0.066 0.054 Ho
1.370 3.208 1.565 Ho
12.706 1.059 0.486 Ho
9.010 2.740 -0.620 Ho
6.572 -0.435 0.728 Ho
6.327 -3.728 2.306 Ho
3.660 1.216 -0.302 Tb
6.207 4.554 -1.720 Tb
10.891 3.674 2.088 Tb
7.414 -0.884 4.026 Tb
7.650 2.301 2.499 Sm
3.421 -1.972 1.226 Sm
```

Values from the calculation:
V: 31.5 A^3/atom
Energy relative to the elements: 0.105 eV/atom

No. 5
Compound: Tb2SmHoMg
Source: Alexandria
Functional: PBE-GGA
Structure: relaxed

Structure (POSCAR):
```
Tb2SmHoMg
1.0
-2.835 -4.802 0.487
5.032 -2.751 2.173
0.185 0.843 9.393
Tb Mg Ho Sm
4 2 2 2
Cartesian
-0.501 -0.743 5.846 Tb
0.577 -1.713 2.556 Tb
1.806 -4.997 9.497 Tb
2.883 -5.966 6.206 Tb
0.817 -5.027 3.445 Mg
1.565 -1.683 8.607 Mg
-1.101 -3.220 10.101 Ho
3.484 -3.490 1.951 Ho
2.614 -2.648 5.189 Sm
-0.232 -4.061 6.864 Sm
```

Values from the calculation:
V: 30.6 A^3/atom
Energy relative to the elements: 0.016 eV/atom

No. 6
Compound: TbSm2HoMg
Source: Alexandria
Functional: PBE-GGA
Structure: relaxed

Structure (POSCAR):
```
TbSm2HoMg
1.0
7.095 0.000 0.000
0.000 7.397 1.445
0.000 -1.136 5.817
Ho Sm Mg Tb
2 4 2 2
Cartesian
1.097 2.846 5.085 Ho
5.998 3.414 2.176 Ho
4.924 4.420 5.392 Sm
2.171 4.988 2.484 Sm
4.924 1.273 4.778 Sm
2.171 1.841 1.869 Sm
0.000 0.000 0.000 Mg
0.000 -0.568 2.908 Mg
4.402 -0.284 1.454 Tb
2.693 -0.852 4.363 Tb
```

Values from the calculation:
V: 31.7 A^3/atom
Energy relative to the elements: 0.176 eV/atom

No. 7
Compound: Tb3Sm6Ho2Mg
Source: Alexandria
Functional: PBE-GGA
Structure: relaxed

Structure (POSCAR):
```
Tb3Sm6Ho2Mg
1.0
6.196 -0.003 0.005
-3.099 5.365 0.005
-1.047 -1.813 11.552
Sm Tb Mg Ho
6 3 1 2
Cartesian
-0.004 3.561 8.701 Sm
2.059 3.566 2.881 Sm
-1.037 1.773 2.861 Sm
3.086 1.776 8.701 Sm
-0.010 -0.017 8.680 Sm
2.054 -0.012 2.861 Sm
-2.076 3.565 5.781 Tb
4.126 -0.016 5.781 Tb
1.025 1.774 5.781 Tb
0.000 0.000 0.000 Mg
0.002 3.574 0.005 Ho
3.095 1.788 0.005 Ho
```

Values from the calculation:
V: 32.0 A^3/atom
Energy relative to the elements: 0.023 eV/atom

No. 8
Compound: Sm3Ho3MgTe8
Source: Alexandria
Functional: PBE-GGA
Structure: relaxed

Structure (POSCAR):
```
Sm3Ho3MgTe8
1.0
8.728 0.000 0.000
-4.364 7.558 -0.026
0.000 -5.014 7.213
Te Ho Sm Mg
8 3 3 1
Cartesian
0.000 0.000 5.321 Te
4.364 0.019 5.335 Te
6.562 -1.262 1.879 Te
-2.198 3.807 5.308 Te
4.364 2.544 1.865 Te
2.198 3.807 5.308 Te
0.000 2.526 1.852 Te
2.166 -1.262 1.879 Te
2.182 1.272 3.593 Ho
-2.182 1.272 3.593 Ho
4.364 -2.507 3.606 Ho
-2.182 3.779 -0.013 Sm
2.182 3.779 -0.013 Sm
0.000 0.000 0.000 Sm
0.000 -2.507 3.606 Mg
```

Values from the calculation:
V: 31.6 A^3/atom
VASP energy: -0.182 Ha/atom

No. 9
Compound: Sm2HoMgTe5
Source: Alexandria
Functional: PBE-GGA
Structure: relaxed

Structure (POSCAR):
```
Sm2HoMgTe5
1.0
4.316 0.000 0.000
-2.158 9.443 0.000
0.000 0.000 13.535
Te Mg Sm Ho
10 2 4 2
Cartesian
0.000 5.881 4.710 Te
2.158 8.507 7.806 Te
2.158 2.565 6.756 Te
0.000 0.936 1.039 Te
0.000 9.354 10.512 Te
0.000 6.878 13.524 Te
0.000 5.332 9.082 Te
2.158 3.562 11.478 Te
2.158 0.089 3.744 Te
2.158 4.111 2.314 Te
0.000 8.429 6.175 Mg
2.158 1.014 12.943 Mg
0.000 2.539 4.092 Sm
2.158 6.904 10.859 Sm
2.158 7.328 2.465 Sm
0.000 2.116 9.233 Sm
0.000 3.855 0.161 Ho
2.158 5.588 6.929 Ho
```

Values from the calculation:
V: 30.6 A^3/atom
VASP energy: -0.172 Ha/atom

No. 10
Compound: Sm4Ho2ThMg
Source: Alexandria
Functional: PBE-GGA
Structure: relaxed

Structure (POSCAR):
```
Sm4Ho2ThMg
1.0
5.880 0.000 0.000
0.000 9.403 -0.188
0.000 3.758 4.515
Ho Sm Th Mg
2 4 1 1
Cartesian
0.000 3.758 4.515 Ho
2.940 1.879 2.257 Ho
5.880 3.337 1.040 Sm
2.940 5.219 3.300 Sm
0.000 9.824 3.286 Sm
2.940 7.941 1.027 Sm
0.000 6.580 2.163 Th
2.940 4.702 -0.094 Mg
```

Values from the calculation:
V: 31.7 A^3/atom
Energy relative to the elements: 0.098 eV/atom

No. 11
Compound: Sm2Ho2ThMg5
Source: Alexandria
Functional: PBE-GGA
Structure: relaxed

Structure (POSCAR):
```
Sm2Ho2ThMg5
1.0
5.172 0.000 0.000
0.000 10.554 0.000
0.000 0.000 10.554
Mg Ho Th Sm
10 4 2 4
Cartesian
2.586 5.277 0.000 Mg
2.586 6.063 7.367 Mg
2.586 4.490 3.187 Mg
2.586 2.090 0.786 Mg
2.586 3.187 6.063 Mg
2.586 7.367 4.490 Mg
2.586 0.786 8.464 Mg
2.586 9.767 2.090 Mg
2.586 0.000 5.277 Mg
2.586 8.464 9.767 Mg
0.000 6.546 9.285 Ho
0.000 1.269 6.546 Ho
0.000 4.008 1.269 Ho
0.000 9.285 4.008 Ho
0.000 0.000 0.000 Th
0.000 5.277 5.277 Th
0.000 3.409 8.686 Sm
0.000 8.686 7.145 Sm
0.000 7.145 1.868 Sm
0.000 1.868 3.409 Sm
```

Values from the calculation:
V: 28.8 A^3/atom
Energy relative to the elements: 0.096 eV/atom

No. 12
Compound: SmHoMgTi
Source: Alexandria
Functional: PBE-GGA
Structure: relaxed

Structure (POSCAR):
```
SmHoMgTi
1.0
5.277 0.000 0.000
2.638 4.570 0.000
2.638 1.523 4.308
Sm Mg Ti Ho
1 1 1 1
Cartesian
5.277 3.046 2.154 Sm
7.915 4.570 3.231 Mg
2.638 1.523 1.077 Ti
0.000 0.000 0.000 Ho
```

Values from the calculation:
V: 26.0 A^3/atom
Energy relative to the elements: 0.145 eV/atom

Repeat the sixth record exactly.
Compound: TbSm2HoMg
Source: Alexandria
Functional: PBE-GGA
Structure: relaxed

Structure (POSCAR):
```
TbSm2HoMg
1.0
7.095 0.000 0.000
0.000 7.397 1.445
0.000 -1.136 5.817
Ho Sm Mg Tb
2 4 2 2
Cartesian
1.097 2.846 5.085 Ho
5.998 3.414 2.176 Ho
4.924 4.420 5.392 Sm
2.171 4.988 2.484 Sm
4.924 1.273 4.778 Sm
2.171 1.841 1.869 Sm
0.000 0.000 0.000 Mg
0.000 -0.568 2.908 Mg
4.402 -0.284 1.454 Tb
2.693 -0.852 4.363 Tb
```

Values from the calculation:
V: 31.7 A^3/atom
Energy relative to the elements: 0.176 eV/atom